The following is a DFT calculation (PBE) of a relaxed structure of Ce6Os2RhBr3.

Cell: 7.051 12.213 8.011 Å, 90.00 107.06 90.00°
Space group C2/m (No. 12)
Unique sites:
Ce (0.227, 0.000, 0.197) x4
Ce (0.235, 0.331, 0.197) x8
Os (0.000, 0.167, 0.000) x4
Rh (0.000, 0.500, 0.000) x2
Br (0.000, 0.000, 0.500) x2
Br (0.000, 0.333, 0.500) x4

Size of the total moment (Bohr magnetons per cell): 8.59
Total DFT energy (no corrections) (eV/atom): -6.7036
Crystal system: monoclinic